Compound: Sm12Al7Si
Source: the Alexandria database
Functional: GGA-PBE
Structure: relaxed

The structure belongs to space group I4/mcm (No. 140); the cell edges are 11.8848, 11.8848 and 15.6293 Å and the angles 90.00°, 90.00° and 90.00°. The asymmetric unit holds Sm at (0.0000, 0.5000, 0.1487), Sm at (0.0637, 0.1978, 0.1366), Sm at (0.1708, 0.3292, 0.5000), Al at (0.0000, 0.0000, 0.0000), Al at (0.1184, 0.3816, 0.0000), Al at (0.1794, 0.3206, 0.2953) and Si at (0.0000, 0.0000, 0.2500).

The value obtained for the size of the total moment is 0.0 μB/f.u. Its uncorrected energy is -380.72 eV per cell. The formation energy (no corrections) is -0.346 eV per atom.